Record 1
Here is a geometry-optimized TlIn5S8 structure from the Alexandria database. Energies are from GGA-PBEsol.

DOS at the Fermi energy = 0.000 states/eV/atom
Crystal system = monoclinic

Unit cell a=3.8355 b=9.0923 c=9.7304 alpha=102.56 beta=101.37 gamma=90.00
With the nearest neighbours (Å) after each atom.
Positions (direct):
Tl 0.5327 0.4792 0.0655  6 S 3.15-3.30
In 0.2888 0.6624 0.5777  6 S 2.57-2.72
In 0.7132 0.3348 0.4265  6 S 2.53-2.74
In 0.6453 0.9088 0.2907  4 S 2.44-2.54
In 0.3553 0.0943 0.7107  4 S 2.45-2.52
In 0.9990 0.9999 0.9979  6 S 2.60-2.64
S 0.7641 0.8500 0.5282  3 In 2.44-2.68
S 0.2352 0.1477 0.4703  3 In 2.45-2.66
S 0.4147 0.8729 0.8294  4 In 2.52-2.72
S 0.5842 0.1297 0.1685  4 In 2.54-2.74
S 0.8339 0.5184 0.6677  3 In 2.53-2.57
S 0.1634 0.4792 0.3269  3 In 2.59-2.62
S 0.0692 0.7803 0.1384  3 In 2.53-2.64
S 0.9309 0.2225 0.8617  3 In 2.52-2.64

***

Record 2
Here is a geometry-optimized TlInS2 structure from the Alexandria database. Energies are from GGA-PBEsol.

DOS at the Fermi energy = 0.016 states/eV/atom
Crystal system = hexagonal

Unit cell a=3.8225 b=3.8225 c=14.6292 alpha=90.00 beta=90.00 gamma=120.00
With the nearest neighbours (Å) after each atom.
Positions (direct):
Tl 0.6667 0.3333 0.7500  6 S 3.13
Tl 0.3333 0.6667 0.2500  6 S 3.13
In 0.0000 0.0000 0.0000  6 S 2.64
In 0.0000 0.0000 0.5000  6 S 2.64
S 0.3333 0.6667 0.5986  3 In 2.64
S 0.6667 0.3333 0.0986  3 In 2.64
S 0.3333 0.6667 0.9014  3 In 2.64
S 0.6667 0.3333 0.4014  3 In 2.64

***

Record 3
Here is a geometry-optimized TlInS2 structure from the Alexandria database. Energies are from GGA-PBEsol.

Crystal system = tetragonal

Unit cell a=6.3637 b=6.3637 c=6.3637 alpha=105.66 beta=105.66 gamma=117.39
With the nearest neighbours (Å) after each atom.
Positions (direct):
Tl 0.7500 0.7500 0.0000  8 S 3.29, 2 Tl 3.31
Tl 0.2500 0.2500 0.0000  8 S 3.29, 2 Tl 3.31
S 0.6714 0.8286 0.5000  2 In 2.49
S 0.1714 0.6714 0.8427  2 In 2.49
S 0.8286 0.3286 0.1573  2 In 2.49
S 0.3286 0.1714 0.5000  2 In 2.49
In 0.2500 0.7500 0.5000  4 S 2.49
In 0.7500 0.2500 0.5000  4 S 2.49

***

| no. | formation energy without anion corrections (eV per atom) | calculated volume (Å³ per atom) | density (g cm⁻³) |
| --- | --- | --- | --- |
| 1 | -0.567 | 23.171 | 5.30 |
| 2 | -0.539 | 23.139 | 6.88 |
| 3 | -0.507 | 24.438 | 6.51 |